Cu3Sn | PBE-GGA | relaxed

```
data_Cu3Sn
_space_group_name_H-M_alt 'F m -3 m'
_space_group_IT_number 225
_space_group_name_Hall '-F 4 2 3'
_cell_length_a 6.1253
_cell_length_b 6.1253
_cell_length_c 6.1253
_cell_angle_alpha 90.00
_cell_angle_beta 90.00
_cell_angle_gamma 90.00
loop_
_atom_site_label
_atom_site_type_symbol
_atom_site_fract_x
_atom_site_fract_y
_atom_site_fract_z
Cu1 Cu 0.0000 0.0000 0.0000
Cu2 Cu 0.2500 0.2500 0.2500
Sn1 Sn 0.0000 0.0000 0.5000
```

E ... -3.7304 eV per atom